Density functional theory data (PBE-GGA) for a relaxed Mn2AlFe crystal.

Cell: 2.608 2.608 7.020 Å, 90.00 90.00 89.94°
Last column: magnetic moment on the atom in μB.
Fractional coordinates of all 4 atoms:
Mn 0.000 0.000 0.989  1.78
Mn 0.000 0.000 0.511  1.78
Fe 0.500 0.500 0.750  -1.77
Al 0.500 0.500 0.250  -0.05

Values from the calculation:
uncorrected energy: -7.71 eV/atom
formation enthalpy at 0 K: -0.073 eV per atom

=====

Density functional theory data (PBE-GGA) for a relaxed EuDyAg crystal.

Cell: 3.852 5.129 5.129 Å, 120.00 90.00 90.00°
Last column: magnetic moment on the atom in μB.
Fractional coordinates of all 3 atoms:
Eu 0.697 0.333 0.667  6.87
Ag 0.068 0.000 0.000  0.01
Dy 0.236 0.667 0.333  0.14

Values from the calculation:
uncorrected energy: -5.90 eV/atom
formation enthalpy at 0 K: 0.007 eV per atom

=====

Density functional theory data (PBE-GGA) for a relaxed HoHf2Re crystal.

Cell: 3.313 3.313 8.114 Å, 90.00 90.00 90.00°
Fractional coordinates of all 4 atoms:
Re 0.500 0.500 0.000
Hf 0.000 0.000 0.810
Hf 0.000 0.000 0.190
Ho 0.500 0.500 0.500

Values from the calculation:
uncorrected energy: -9.31 eV/atom
formation enthalpy at 0 K: -0.080 eV per atom

=====

Density functional theory data (PBE-GGA) for a relaxed LiTm3Ga12 crystal.

Cell: 4.229 4.229 16.550 Å, 90.00 90.00 90.00°
Fractional coordinates of all 16 atoms:
Li 0.000 0.000 0.000
Tm 0.000 0.000 0.242
Tm 0.000 0.000 0.500
Tm 0.000 0.000 0.758
Ga 0.500 0.500 0.000
Ga 0.500 0.500 0.249
Ga 0.500 0.500 0.500
Ga 0.500 0.500 0.751
Ga 0.500 0.000 0.112
Ga 0.500 0.000 0.371
Ga 0.500 0.000 0.629
Ga 0.500 0.000 0.888
Ga 0.000 0.500 0.112
Ga 0.000 0.500 0.371
Ga 0.000 0.500 0.629
Ga 0.000 0.500 0.888

Values from the calculation:
uncorrected energy: -3.65 eV/atom
formation enthalpy at 0 K: -0.425 eV per atom

=====

Density functional theory data (PBE-GGA) for a relaxed Al2MoCl crystal.

Cell: 4.917 4.917 2.819 Å, 90.00 90.00 90.00°
Fractional coordinates of all 4 atoms:
Mo 0.000 0.500 0.500
Al 0.000 0.000 0.000
Al 0.500 0.500 0.000
Cl 0.500 0.000 0.500

Values from the calculation:
energy relative to the elements, uncorrected: 0.059 eV per atom
uncorrected energy: -4.98 eV/atom

=====

Density functional theory data (PBE-GGA) for a relaxed Ba3Sb3Pb crystal.

Cell: 7.542 11.588 14.532 Å, 90.00 90.00 108.99°
Fractional coordinates of all 28 atoms:
Ba 0.689 0.000 0.857
Ba 0.811 0.000 0.357
Ba 0.189 0.000 0.643
Ba 0.311 0.000 0.143
Ba 0.016 0.650 0.370
Ba 0.484 0.350 0.870
Ba 0.866 0.350 0.130
Ba 0.634 0.650 0.630
Ba 0.984 0.350 0.630
Ba 0.516 0.650 0.130
Ba 0.134 0.650 0.870
Ba 0.366 0.350 0.370
Sb 0.230 0.000 0.883
Sb 0.270 0.000 0.383
Sb 0.730 0.000 0.617
Sb 0.770 0.000 0.117
Sb 0.556 0.671 0.373
Sb 0.944 0.329 0.873
Sb 0.385 0.329 0.127
Sb 0.115 0.671 0.627
Sb 0.444 0.329 0.627
Sb 0.056 0.671 0.127
Sb 0.615 0.671 0.873
Sb 0.885 0.329 0.373
Pb 0.413 0.826 0.500
Pb 0.087 0.174 0.000
Pb 0.587 0.174 0.500
Pb 0.913 0.826 0.000

Values from the calculation:
energy relative to the elements, uncorrected: -0.769 eV per atom
uncorrected energy: -3.89 eV/atom

=====

Density functional theory data (PBE-GGA) for a relaxed Cs4H5Br crystal.

Cell: 5.900 9.996 13.079 Å, 90.00 90.00 90.00°
Fractional coordinates of all 20 atoms:
Cs 0.110 0.000 0.723
Cs 0.552 0.771 0.000
Cs 0.552 0.229 0.000
Cs 0.110 0.000 0.277
Cs 0.890 0.500 0.223
Cs 0.448 0.729 0.500
Cs 0.448 0.271 0.500
Cs 0.890 0.500 0.777
H 0.449 0.723 0.752
H 0.449 0.277 0.752
H 0.728 0.500 0.000
H 0.449 0.723 0.248
H 0.449 0.277 0.248
H 0.551 0.777 0.252
H 0.551 0.223 0.252
H 0.272 0.000 0.500
H 0.551 0.223 0.748
H 0.551 0.777 0.748
Br 0.061 0.000 0.000
Br 0.939 0.500 0.500

Values from the calculation:
uncorrected energy: -2.50 eV/atom

=====

Density functional theory data (PBE-GGA) for a relaxed Ba2SrTcPb crystal.

Cell: 6.636 4.831 6.636 Å, 90.00 90.00 90.00°
Fractional coordinates of all 5 atoms:
Pb 0.500 0.500 0.500
Sr 0.000 0.000 0.000
Ba 0.000 0.000 0.500
Ba 0.500 0.000 0.000
Tc 0.000 0.500 0.000

Values from the calculation:
uncorrected energy: -2.83 eV/atom
formation enthalpy at 0 K: 1.091 eV per atom

=====

Density functional theory data (PBE-GGA) for a relaxed CaAg5Sn2 crystal.

Cell: 4.229 7.043 7.043 Å, 67.99 72.53 72.53°
Fractional coordinates of all 8 atoms:
Ca 0.000 0.000 0.000
Ag 0.000 0.500 0.500
Ag 0.632 0.553 0.183
Ag 0.368 0.447 0.817
Ag 0.368 0.817 0.447
Ag 0.632 0.183 0.553
Sn 0.740 0.760 0.760
Sn 0.260 0.240 0.240

Values from the calculation:
uncorrected energy: -3.15 eV/atom
formation enthalpy at 0 K: -0.116 eV per atom

=====

Density functional theory data (PBE-GGA) for a relaxed Er3Ir2Ru crystal.

Cell: 4.784 4.784 5.857 Å, 90.00 90.00 120.00°
Fractional coordinates of all 6 atoms:
Er 0.000 0.000 0.500
Er 0.667 0.333 0.834
Er 0.333 0.667 0.166
Ir 0.667 0.333 0.331
Ir 0.333 0.667 0.669
Ru 0.000 0.000 0.000

Values from the calculation:
uncorrected energy: -7.54 eV/atom
formation enthalpy at 0 K: -0.759 eV per atom

=====

Density functional theory data (PBE-GGA) for a relaxed Ca3Pa3GaN8 crystal.

Cell: 7.077 6.887 6.985 Å, 120.11 90.00 120.92°
Fractional coordinates of all 15 atoms:
Ca 0.000 0.000 0.000
Ca 0.000 0.500 0.000
Ca 0.500 0.500 0.000
Pa 0.500 0.000 0.500
Pa 0.500 0.500 0.500
Pa 0.000 0.500 0.500
Ga 0.000 0.000 0.500
N 0.256 0.513 0.276
N 0.744 0.487 0.724
N 0.788 0.577 0.307
N 0.212 0.423 0.693
N 0.758 0.041 0.297
N 0.242 0.959 0.703
N 0.283 0.041 0.297
N 0.717 0.959 0.703

Values from the calculation:
energy relative to the elements, uncorrected: -1.141 eV per atom
uncorrected energy: -8.08 eV/atom

=====

Density functional theory data (PBE-GGA) for a relaxed Zr2TiPb crystal.

Cell: 4.487 4.383 4.383 Å, 90.00 90.00 90.00°
Fractional coordinates of all 4 atoms:
Pb 0.500 0.500 0.500
Zr 0.000 0.000 0.500
Zr 0.000 0.500 0.000
Ti 0.500 0.000 0.000

Values from the calculation:
uncorrected energy: -7.27 eV/atom
formation enthalpy at 0 K: -0.095 eV per atom

=====

Density functional theory data (PBE-GGA) for a relaxed Cs4Pu3BrF12 crystal.

Cell: 8.603 8.603 8.603 Å, 109.47 109.47 109.47°
Last column: magnetic moment on the atom in μB.
Fractional coordinates of all 20 atoms:
Cs 0.500 0.500 0.500  0.00
Cs 0.000 0.000 0.500  0.00
Cs 0.500 0.000 0.000  0.00
Cs 0.000 0.500 0.000  0.00
Pu 0.500 0.000 0.500  -5.07
Pu 0.500 0.500 0.000  -5.07
Pu 0.000 0.500 0.500  -5.07
Br 0.000 0.000 0.000  0.10
F 0.250 0.500 0.750  0.01
F 0.711 0.000 0.711  0.04
F 0.289 0.000 0.289  0.04
F 0.750 0.500 0.250  0.01
F 0.711 0.711 0.000  0.04
F 0.289 0.289 0.000  0.04
F 0.750 0.250 0.500  0.01
F 0.250 0.750 0.500  0.01
F 0.500 0.250 0.750  0.01
F 0.000 0.711 0.711  0.04
F 0.500 0.750 0.250  0.01
F 0.000 0.289 0.289  0.04

Values from the calculation:
energy relative to the elements, uncorrected: -2.941 eV per atom
uncorrected energy: -6.47 eV/atom

=====

Density functional theory data (PBE-GGA) for a relaxed BaCa14Dy crystal.

Cell: 7.804 7.804 12.807 Å, 90.00 90.00 120.16°
Fractional coordinates of all 16 atoms:
Ba 0.040 0.960 0.500
Ca 0.210 0.790 0.000
Ca 0.709 0.291 0.000
Ca 0.039 0.458 0.500
Ca 0.210 0.293 0.000
Ca 0.542 0.961 0.500
Ca 0.707 0.790 0.000
Ca 0.380 0.130 0.750
Ca 0.380 0.130 0.250
Ca 0.870 0.620 0.750
Ca 0.870 0.620 0.250
Ca 0.377 0.623 0.745
Ca 0.377 0.623 0.255
Ca 0.873 0.127 0.754
Ca 0.873 0.127 0.246
Dy 0.541 0.459 0.500

Values from the calculation:
uncorrected energy: -2.11 eV/atom
formation enthalpy at 0 K: 0.049 eV per atom

=====

Density functional theory data (PBE-GGA) for a relaxed SiSbTe2 crystal.

Cell: 5.229 5.229 5.229 Å, 60.00 60.00 60.00°
Fractional coordinates of all 4 atoms:
Sb 0.500 0.500 0.500
Si 0.750 0.750 0.750
Te 0.000 0.000 0.000
Te 0.250 0.250 0.250

Values from the calculation:
energy relative to the elements, uncorrected: 0.472 eV per atom
uncorrected energy: -3.49 eV/atom

=====

Density functional theory data (PBE-GGA) for a relaxed CdMo2Os crystal.

Cell: 9.723 9.723 9.723 Å, 16.64 16.64 16.64°
Fractional coordinates of all 4 atoms:
Cd 0.750 0.750 0.750
Mo 0.994 0.994 0.994
Mo 0.506 0.506 0.506
Os 0.250 0.250 0.250

Values from the calculation:
uncorrected energy: -8.17 eV/atom
formation enthalpy at 0 K: 0.285 eV per atom

=====

Density functional theory data (PBE-GGA) for a relaxed LiPr3Pt crystal.

Cell: 4.834 6.763 8.789 Å, 89.98 90.00 90.00°
Fractional coordinates of all 10 atoms:
Li 0.376 0.284 0.701
Li 0.876 0.069 0.200
Pr 0.376 0.384 0.202
Pr 0.376 0.871 0.003
Pr 0.876 0.482 0.504
Pr 0.876 0.969 0.701
Pr 0.876 0.481 0.898
Pr 0.376 0.872 0.398
Pt 0.376 0.682 0.700
Pt 0.876 0.671 0.201

Values from the calculation:
uncorrected energy: -4.83 eV/atom
formation enthalpy at 0 K: -0.367 eV per atom

=====

Density functional theory data (PBE-GGA) for a relaxed CdTe2Pd2 crystal.

Cell: 4.146 4.146 7.680 Å, 74.34 74.34 90.00°
Fractional coordinates of all 5 atoms:
Te 0.372 0.372 0.256
Te 0.628 0.628 0.744
Pd 0.750 0.250 0.500
Pd 0.250 0.750 0.500
Cd 0.000 0.000 0.000

Values from the calculation:
energy relative to the elements, uncorrected: -0.139 eV per atom
uncorrected energy: -3.66 eV/atom

=====

Density functional theory data (PBE-GGA) for a relaxed Zn7Ag2Au2 crystal.

Cell: 3.922 7.397 7.397 Å, 64.59 74.63 74.63°
Fractional coordinates of all 11 atoms:
Zn 0.840 0.047 0.273
Zn 0.840 0.511 0.810
Zn 0.500 0.926 0.074
Zn 0.656 0.457 0.231
Zn 0.344 0.769 0.543
Zn 0.160 0.727 0.953
Zn 0.160 0.190 0.489
Ag 0.000 0.641 0.359
Ag 0.500 0.351 0.649
Au 0.687 0.931 0.695
Au 0.313 0.305 0.069

Values from the calculation:
uncorrected energy: -2.01 eV/atom
formation enthalpy at 0 K: -0.090 eV per atom

=====

Density functional theory data (PBE-GGA) for a relaxed HPbO crystal.

Cell: 3.553 7.108 9.699 Å, 96.74 90.00 90.00°
Fractional coordinates of all 12 atoms:
H 0.460 0.024 0.971
H 0.960 0.476 0.029
H 0.540 0.976 0.029
H 0.040 0.524 0.971
Pb 0.746 0.350 0.356
Pb 0.246 0.150 0.644
Pb 0.254 0.650 0.644
Pb 0.754 0.850 0.356
O 0.749 0.389 0.589
O 0.249 0.111 0.411
O 0.251 0.611 0.411
O 0.751 0.889 0.589

Values from the calculation:
uncorrected energy: -4.73 eV/atom